A relaxed TaCd2Au crystal, computed with GGA-PBEsol.

Cell: 9.965 9.965 9.965 Å, 17.01 17.01 17.01°
Positions (direct):
Ta: 0.000 0.000 0.000
Cd: 0.507 0.507 0.507
Cd: 0.752 0.752 0.752
Au: 0.256 0.256 0.256

E above lowest polymorph = 0 meV per atom
Space-group type = R3m (160)
DFT formation energy = 1.64 kcal/mol of atoms

A relaxed CdTc2Au crystal, computed with GGA-PBEsol.

Cell: 5.136 5.136 2.694 Å, 90.00 90.00 117.56°
Positions (direct):
Cd: 0.000 0.000 0.000
Tc: 0.000 0.500 0.500
Tc: 0.500 0.000 0.500
Au: 0.500 0.500 0.000

Space-group type = Cmmm (65)
DFT formation energy = 11.12 kcal/mol of atoms

A relaxed CdTc3Au crystal, computed with GGA-PBEsol.

Cell: 4.722 4.722 4.722 Å, 90.00 90.00 90.00°
Positions (direct):
Cd: 0.000 0.000 0.000
Tc: 0.000 0.000 0.500
Tc: 0.000 0.500 0.000
Tc: 0.500 0.000 0.000
Au: 0.500 0.500 0.500

Space-group type = Pm-3m (221)
DFT formation energy = 64.13 kcal/mol of atoms

A relaxed CdTc2Au crystal, computed with GGA-PBEsol.

Cell: 9.520 9.520 9.520 Å, 16.79 16.79 16.79°
Positions (direct):
Cd: 0.000 0.000 0.000
Tc: 0.248 0.248 0.248
Tc: 0.752 0.752 0.752
Au: 0.500 0.500 0.500

Space-group type = R-3m (166)
DFT formation energy = 10.45 kcal/mol of atoms

A relaxed CdTcAu3 crystal, computed with GGA-PBEsol.

Cell: 4.966 4.966 4.966 Å, 90.00 90.00 90.00°
Positions (direct):
Cd: 0.000 0.000 0.000
Tc: 0.500 0.500 0.500
Au: 0.000 0.000 0.500
Au: 0.000 0.500 0.000
Au: 0.500 0.000 0.000

Space-group type = Pm-3m (221)
DFT formation energy = 35.78 kcal/mol of atoms

A relaxed CdTc2Au crystal, computed with GGA-PBEsol.

Cell: 3.780 3.780 4.409 Å, 90.00 90.00 90.00°
Positions (direct):
Cd: 0.000 0.000 0.000
Tc: 0.000 0.500 0.500
Tc: 0.500 0.000 0.500
Au: 0.500 0.500 0.000

Space-group type = P4/mmm (123)
DFT formation energy = 10.55 kcal/mol of atoms

A relaxed CdTe2Au crystal, computed with GGA-PBEsol.

Cell: 7.199 7.199 7.199 Å, 33.23 33.23 33.23°
Positions (direct):
Cd: 0.000 0.000 0.000
Te: 0.244 0.244 0.244
Te: 0.756 0.756 0.756
Au: 0.500 0.500 0.500

ΔE_f (raw) = -2.6 kcal/mol of atoms
Space-group type = R-3m (166)

A relaxed CdTe2Au crystal, computed with GGA-PBEsol.

Cell: 7.753 7.753 7.753 Å, 131.99 131.99 70.24°
Positions (direct):
Cd: 0.000 0.000 0.000
Cd: 0.750 0.250 0.500
Te: 0.143 0.625 0.018
Te: 0.375 0.393 0.518
Te: 0.607 0.125 0.982
Te: 0.875 0.857 0.482
Au: 0.250 0.750 0.500
Au: 0.500 0.500 0.000

ΔE_f (raw) = -2.6 kcal/mol of atoms
Space-group type = I-42d (122)

A relaxed Cd2TeAu2 crystal, computed with GGA-PBEsol.

Cell: 7.664 7.664 7.664 Å, 150.52 150.52 42.17°
Positions (direct):
Cd: 0.103 0.103 0.000
Cd: 0.897 0.897 0.000
Te: 0.500 0.500 0.000
Au: 0.250 0.750 0.500
Au: 0.750 0.250 0.500

ΔE_f (raw) = -1.8 kcal/mol of atoms
Space-group type = I4/mmm (139)

A relaxed ThCdAu2 crystal, computed with GGA-PBEsol.

Cell: 4.971 4.971 4.971 Å, 60.00 60.00 60.00°
Positions (direct):
Th: 0.000 0.000 0.000
Cd: 0.500 0.500 0.500
Au: 0.250 0.250 0.250
Au: 0.750 0.750 0.750

Space-group type = Fm-3m (225)
DFT formation energy = -13.73 kcal/mol of atoms

A relaxed TiCd3Au crystal, computed with GGA-PBEsol.

Cell: 5.201 5.201 5.201 Å, 90.00 90.00 90.00°
Positions (direct):
Ti: 0.000 0.000 0.000
Cd: 0.000 0.000 0.500
Cd: 0.000 0.500 0.000
Cd: 0.500 0.000 0.000
Au: 0.500 0.500 0.500

Space-group type = Pm-3m (221)
DFT formation energy = 25.52 kcal/mol of atoms

A relaxed Tl2CdAu crystal, computed with GGA-PBEsol.

Cell: 7.360 7.360 7.360 Å, 154.69 143.86 44.64°
Positions (direct):
Tl: 0.186 0.186 0.000
Tl: 0.814 0.814 0.000
Cd: 0.500 0.000 0.500
Au: 0.000 0.500 0.500

E above lowest polymorph = 0 meV per atom
Space-group type = Immm (71)
DFT formation energy = 0.18 kcal/mol of atoms